(1)
Cd2GaB2Rh5 | PBE-GGA | optimized geometry

## Properties
E_form (eV per atom): -0.416
Space-group type: No. 127
Electronic total energy (eV per cell): -118.258

Unit cell a=9.6294 b=9.6294 c=2.9228 alpha=90.00 beta=90.00 gamma=90.00
Sites, in units of the cell vectors:
Cd 0.1774 0.3226 0.0000
Cd 0.3226 0.8226 0.0000
Cd 0.6774 0.1774 0.0000
Cd 0.8226 0.6774 0.0000
Ga 0.0000 0.0000 0.0000
Ga 0.5000 0.5000 0.0000
B 0.1256 0.6256 0.0000
B 0.3744 0.1256 0.0000
B 0.6256 0.8744 0.0000
B 0.8744 0.3744 0.0000
Rh 0.0000 0.5000 0.5000
Rh 0.0686 0.7823 0.5000
Rh 0.2177 0.0686 0.5000
Rh 0.2823 0.5686 0.5000
Rh 0.4314 0.2823 0.5000
Rh 0.5000 0.0000 0.5000
Rh 0.5686 0.7177 0.5000
Rh 0.7177 0.4314 0.5000
Rh 0.7823 0.9314 0.5000
Rh 0.9314 0.2177 0.5000

***

(2)
Er4Tm2Mg | PBE-GGA | optimized geometry

## Properties
E_form (eV per atom): 0.113
Space-group type: No. 11
Polymorph energy (0 for the lowest one) (meV per atom): 0
Electronic total energy (eV per cell): -56.002

Unit cell a=5.8985 b=6.4702 c=11.3209 alpha=90.00 beta=105.10 gamma=90.00
Sites, in units of the cell vectors:
Er 0.0234 0.2500 0.3734
Er 0.1530 0.2500 0.9397
Er 0.3576 0.0027 0.2120
Er 0.3576 0.4973 0.2120
Er 0.6424 0.5027 0.7880
Er 0.6424 0.9973 0.7880
Er 0.8470 0.7500 0.0603
Er 0.9766 0.7500 0.6266
Tm 0.2728 0.7500 0.9226
Tm 0.3983 0.7500 0.4949
Tm 0.6017 0.2500 0.5051
Tm 0.7272 0.2500 0.0774
Mg 0.1518 0.2500 0.6645
Mg 0.8482 0.7500 0.3355

***

(3)
La3Tl2Zn | PBE-GGA | optimized geometry

## Properties
E_form (eV per atom): -0.394
Space-group type: No. 123
Polymorph energy (0 for the lowest one) (meV per atom): 0
Electronic total energy (eV per cell): -23.152

Unit cell a=3.8414 b=3.8414 c=12.1416 alpha=90.00 beta=90.00 gamma=90.00
Sites, in units of the cell vectors:
La 0.0000 0.0000 0.0000
La 0.0000 0.0000 0.3542
La 0.0000 0.0000 0.6458
Tl 0.5000 0.5000 0.1786
Tl 0.5000 0.5000 0.8214
Zn 0.5000 0.5000 0.5000

***

(4)
NdP2IrRh2 | PBE-GGA | optimized geometry

## Properties
E_form (eV per atom): -0.254
Space-group type: No. 123
Electronic total energy (eV per cell): -40.674

Unit cell a=4.4932 b=4.4932 c=5.6011 alpha=90.00 beta=90.00 gamma=90.00
Sites, in units of the cell vectors:
Nd 0.0000 0.0000 0.0000
P 0.0000 0.5000 0.5000
P 0.5000 0.0000 0.5000
Ir 0.0000 0.0000 0.5000
Rh 0.5000 0.5000 0.2513
Rh 0.5000 0.5000 0.7487

***

(5)
ZrGaS2N | PBE-GGA | optimized geometry

## Properties
Space-group type: No. 123
Polymorph energy (0 for the lowest one) (meV per atom): 261
Electronic total energy (eV per cell): -27.691

Unit cell a=4.7659 b=4.7659 c=3.6481 alpha=90.00 beta=90.00 gamma=90.00
Sites, in units of the cell vectors:
Zr 0.0000 0.0000 0.0000
Ga 0.5000 0.5000 0.5000
S 0.0000 0.5000 0.5000
S 0.5000 0.0000 0.5000
N 0.5000 0.5000 0.0000